Entry from the Alexandria database: an optimized crystal structure of K2Cu2NiF6 (PBE with a Hubbard U).

E: -45.5 eV per cell
Size of the total moment: 2.15 Bohr magnetons per cell
Space-group type: C2/m (12)
Density: 3.707 g/cm³

a b c (Å): 5.8441 6.1144 6.3791
angles (deg): 117.97 90.00 118.55
Last column: nearest neighbours and their distance in Å.
Fractional coordinates of all 11 atoms:
F  0.6858  0.8930  0.2333  1 Cu 2.02, 1 Ni 2.03
K  0.7212  0.4424  0.1786  5 F 2.66-2.77
F  0.7928  0.1070  0.7667  1 Cu 2.02, 1 Ni 2.03
Cu  0.0705  0.1410  0.2348  3 F 1.93-2.02
Cu  0.9295  0.8590  0.7652  3 F 1.93-2.02
F  0.2816  0.5631  0.3894  1 Cu 1.93, 1 Ni 2.06
F  0.2072  0.8930  0.2333  1 Cu 2.02, 1 Ni 2.03
F  0.7184  0.4369  0.6106  1 Cu 1.93, 1 Ni 2.06
K  0.2788  0.5576  0.8214  5 F 2.66-2.77
F  0.3142  0.1070  0.7667  1 Cu 2.02, 1 Ni 2.03
Ni  0.5000  0.0000  0.5000  6 F 2.03-2.06